# K2ZrPb, relaxed, DFT PBE
# Formation enthalpy at 0 K ... 43.4 kJ per mole of atoms
# Volume ... 312.8 Å³/cell
# E ... -3.16 eV per atom
# Polymorph energy (0 for the lowest one) ... 261 meV/atom
data_K2ZrPb
_chemical_formula_sum 'K4 Zr2 Pb2'
_cell_length_a 3.4336
_cell_length_b 6.6824
_cell_length_c 13.6349
_cell_angle_alpha 90.00
_cell_angle_beta 90.00
_cell_angle_gamma 90.00
_space_group_name_H-M_alt 'I m m 2'
_space_group_IT_number 44
loop_
_space_group_symop_operation_xyz
'x,y,z'
'-x,-y,z'
'-x,y,z'
'x,-y,z'
'x+1/2,y+1/2,z+1/2'
'-x+1/2,-y+1/2,z+1/2'
'-x+1/2,y+1/2,z+1/2'
'x+1/2,-y+1/2,z+1/2'
loop_
_atom_site_label
_atom_site_fract_x
_atom_site_fract_y
_atom_site_fract_z
K1 0.0000 0.0000 0.0000
K2 0.0000 0.5000 0.2046
Zr1 0.0000 0.0000 0.4168
Pb1 0.0000 0.5000 0.7373

# LiTmScRu, relaxed, DFT PBE
# Formation enthalpy at 0 K ... -32.4 kJ per mole of atoms
# Volume ... 300.3 Å³/cell
# E ... -5.83 eV per atom
data_LiTmScRu
_chemical_formula_sum 'Li4 Tm4 Sc4 Ru4'
_cell_length_a 6.6969
_cell_length_b 6.6969
_cell_length_c 6.6969
_cell_angle_alpha 90.00
_cell_angle_beta 90.00
_cell_angle_gamma 90.00
_space_group_name_H-M_alt 'F -4 3 m'
_space_group_IT_number 216
_space_group_name_Hall 'F -4 2 3'
loop_
_atom_site_label
_atom_site_fract_x
_atom_site_fract_y
_atom_site_fract_z
Li1 0.0000 0.0000 0.0000
Tm1 0.2500 0.2500 0.2500
Sc1 0.2500 0.2500 0.7500
Ru1 0.0000 0.0000 0.5000

# YMn2Cd, relaxed, DFT PBE
# Formation enthalpy at 0 K ... 8.6 kJ per mole of atoms
# Volume ... 76.1 Å³/cell
# E ... -6.34 eV per atom
# Polymorph energy (0 for the lowest one) ... 0 meV/atom
data_YMn2Cd
_chemical_formula_sum 'Y1 Mn2 Cd1'
_cell_length_a 3.1846
_cell_length_b 3.1846
_cell_length_c 7.4993
_cell_angle_alpha 90.00
_cell_angle_beta 90.00
_cell_angle_gamma 90.00
_space_group_name_H-M_alt 'P 4 m m'
_space_group_IT_number 99
loop_
_space_group_symop_operation_xyz
'x,y,z'
'-y,x,z'
'-x,-y,z'
'y,-x,z'
'-x,y,z'
'y,x,z'
'x,-y,z'
'-y,-x,z'
loop_
_atom_site_label
_atom_site_fract_x
_atom_site_fract_y
_atom_site_fract_z
Y1 0.0000 0.0000 0.0000
Mn1 0.0000 0.0000 0.5739
Mn2 0.5000 0.5000 0.7250
Cd1 0.5000 0.5000 0.3254

# SrZnMo2, relaxed, DFT PBE
# Formation enthalpy at 0 K ... 91.3 kJ per mole of atoms
# Volume ... 387.6 Å³/cell
# E ... -5.21 eV per atom
data_SrZnMo2
_chemical_formula_sum 'Sr4 Zn4 Mo8'
_cell_length_a 4.4336
_cell_length_b 4.4336
_cell_length_c 19.7198
_cell_angle_alpha 90.00
_cell_angle_beta 90.00
_cell_angle_gamma 90.00
_space_group_name_H-M_alt 'I -4 2 d'
_space_group_IT_number 122
_space_group_name_Hall 'I -4 2bw'
loop_
_atom_site_label
_atom_site_fract_x
_atom_site_fract_y
_atom_site_fract_z
Sr1 0.0000 0.0000 0.0000
Zn1 0.0000 0.0000 0.5000
Mo1 0.0920 0.2500 0.6250